Compound: AgOs2S
Source: the Alexandria database
Functional: GGA-PBE
Structure: optimized geometry

Values from the calculation:
- Spin magnetization: 0.0 μB/f.u.
- Formation energy without anion corrections: 791 meV/atom
- DOS at the Fermi energy: 8.45 states/eV per cell

Lattice parameters (Å, degrees): 6.963 6.963 5.574 51.34 51.34 90.00
Element x y z (fractional)
S  0.500  0.500  0.000
S  0.250  0.750  0.500
Os  0.552  0.125  0.250
Os  0.198  0.625  0.250
Os  0.375  0.448  0.750
Os  0.875  0.802  0.750
Ag  0.000  0.000  0.000
Ag  0.750  0.250  0.500

***

Compound: SiAgOs2S
Source: the Alexandria database
Functional: GGA-PBE
Structure: optimized geometry

Values from the calculation:
- Spin magnetization: 0.0 μB/f.u.
- Formation energy without anion corrections: 1205 meV/atom
- DOS at the Fermi energy: 4.34 states/eV per cell

Lattice parameters (Å, degrees): 4.332 4.719 4.332 90.00 90.00 90.00
Element x y z (fractional)
S  0.000  0.000  0.000
Os  0.000  0.000  0.500
Os  0.500  0.000  0.000
Si  0.000  0.500  0.000
Ag  0.500  0.500  0.500

***

Compound: SrAg2OsS
Source: the Alexandria database
Functional: GGA-PBE
Structure: optimized geometry

Values from the calculation:
- Spin magnetization: 2.4 μB/f.u.
- Formation energy without anion corrections: 2110 meV/atom
- DOS at the Fermi energy: 4.14 states/eV per cell

Lattice parameters (Å, degrees): 5.562 5.562 5.254 90.00 90.00 90.00
Element x y z (fractional)
Sr  0.000  0.000  0.000
S  0.500  0.500  0.500
Os  0.000  0.000  0.500
Ag  0.000  0.500  0.000
Ag  0.500  0.000  0.000

***

Compound: AgTeOsS2
Source: the Alexandria database
Functional: GGA-PBE
Structure: optimized geometry

Values from the calculation:
- Spin magnetization: 0.0 μB/f.u.
- Formation energy without anion corrections: 390 meV/atom
- DOS at the Fermi energy: 2.98 states/eV per cell

Lattice parameters (Å, degrees): 4.438 6.015 4.438 90.00 90.00 90.00
Element x y z (fractional)
S  0.000  0.000  0.500
S  0.500  0.000  0.000
Te  0.000  0.500  0.000
Os  0.000  0.000  0.000
Ag  0.500  0.500  0.500

***

Compound: TlAgOsS2
Source: the Alexandria database
Functional: GGA-PBE
Structure: optimized geometry

Values from the calculation:
- Spin magnetization: 3.9 μB/f.u.
- Formation energy without anion corrections: 1776 meV/atom
- DOS at the Fermi energy: 4.69 states/eV per cell

Lattice parameters (Å, degrees): 5.122 5.304 5.122 90.00 90.00 90.00
Element x y z (fractional)
Tl  0.000  0.000  0.000
Os  0.000  0.500  0.000
S  0.000  0.000  0.500
S  0.500  0.000  0.000
Ag  0.500  0.500  0.500

***

Compound: Zn2AgOsS
Source: the Alexandria database
Functional: GGA-PBE
Structure: optimized geometry

Values from the calculation:
- Spin magnetization: 2.5 μB/f.u.
- Formation energy without anion corrections: 1462 meV/atom
- DOS at the Fermi energy: 4.47 states/eV per cell

Lattice parameters (Å, degrees): 4.714 4.714 5.076 90.00 90.00 90.00
Element x y z (fractional)
Zn  0.000  0.500  0.000
Zn  0.500  0.000  0.000
Os  0.000  0.000  0.500
S  0.500  0.500  0.500
Ag  0.000  0.000  0.000

***

Compound: ZrAg2OsS
Source: the Alexandria database
Functional: GGA-PBE
Structure: optimized geometry

Values from the calculation:
- Spin magnetization: 0.7 μB/f.u.
- Formation energy without anion corrections: 748 meV/atom
- DOS at the Fermi energy: 3.02 states/eV per cell

Lattice parameters (Å, degrees): 4.529 4.895 4.529 90.00 90.00 90.00
Element x y z (fractional)
S  0.000  0.000  0.000
Os  0.500  0.500  0.500
Zr  0.000  0.500  0.000
Ag  0.000  0.000  0.500
Ag  0.500  0.000  0.000

***

Compound: Ag2SbOs
Source: the Alexandria database
Functional: GGA-PBE
Structure: optimized geometry

Values from the calculation:
- Spin magnetization: 0.0 μB/f.u.
- Formation energy without anion corrections: 546 meV/atom
- DOS at the Fermi energy: 2.07 states/eV per cell

Lattice parameters (Å, degrees): 3.960 3.960 4.557 90.00 90.00 90.00
Element x y z (fractional)
Sb  0.000  0.500  0.500
Os  0.500  0.000  0.500
Ag  0.000  0.000  0.000
Ag  0.500  0.500  0.000

***

Compound: Ag2SbOs
Source: the Alexandria database
Functional: GGA-PBE
Structure: optimized geometry

Values from the calculation:
- Spin magnetization: 0.0 μB/f.u.
- Formation energy without anion corrections: 673 meV/atom
- DOS at the Fermi energy: 2.70 states/eV per cell

Lattice parameters (Å, degrees): 2.874 4.590 5.578 90.00 90.00 90.00
Element x y z (fractional)
Sb  0.500  0.500  0.750
Os  0.500  0.500  0.250
Ag  0.000  0.000  0.011
Ag  0.000  0.000  0.489

***

Compound: Ag2SbOs
Source: the Alexandria database
Functional: GGA-PBE
Structure: optimized geometry

Values from the calculation:
- Spin magnetization: 0.0 μB/f.u.
- Formation energy without anion corrections: 411 meV/atom
- DOS at the Fermi energy: 2.33 states/eV per cell

Lattice parameters (Å, degrees): 3.290 3.290 6.836 90.00 90.00 90.00
Element x y z (fractional)
Sb  0.500  0.500  0.714
Os  0.000  0.000  0.513
Ag  0.000  0.000  0.019
Ag  0.500  0.500  0.255

***

Compound: AgSb4Os
Source: the Alexandria database
Functional: GGA-PBE
Structure: optimized geometry

Values from the calculation:
- Spin magnetization: 2.2 μB/f.u.
- Formation energy without anion corrections: 1202 meV/atom
- DOS at the Fermi energy: 5.93 states/eV per cell

Lattice parameters (Å, degrees): 6.029 6.029 6.029 60.00 60.00 60.00
Element x y z (fractional)
Ag  0.750  0.750  0.750
Sb  0.875  0.375  0.375
Sb  0.375  0.375  0.875
Sb  0.375  0.875  0.375
Sb  0.375  0.375  0.375
Os  0.000  0.000  0.000

***

Compound: Ag2SbOs
Source: the Alexandria database
Functional: GGA-PBE
Structure: optimized geometry

Values from the calculation:
- Spin magnetization: 0.8 μB/f.u.
- Formation energy without anion corrections: 801 meV/atom
- DOS at the Fermi energy: 5.20 states/eV per cell

Lattice parameters (Å, degrees): 7.785 7.785 6.097 50.32 50.32 90.00
Element x y z (fractional)
Sb  0.500  0.500  0.000
Sb  0.250  0.750  0.500
Os  0.000  0.000  0.000
Os  0.750  0.250  0.500
Ag  0.638  0.125  0.250
Ag  0.112  0.625  0.250
Ag  0.375  0.362  0.750
Ag  0.875  0.888  0.750